Record 1
Entry from Alexandria: crystalline SrNiAs2Br at its relaxed geometry (PBE).

Geometry as POSCAR:
```
SrNiAs2Br
1.0
4.501 0.000 0.000
0.000 4.501 0.000
0.000 0.000 6.403
Sr Ni As Br
1 1 2 1
direct
0.000 0.000 0.000
0.500 0.500 0.500
0.000 0.500 0.500
0.500 0.000 0.500
0.500 0.500 0.000
```

Energy relative to the elements, uncorrected   -2.4 eV per formula unit
DFT total energy   -0.306 Ry per atom
Space group   P4/mmm
ΔE to the lowest computed polymorph   0 meV/atom

Record 2
Entry from Alexandria: crystalline Mg2Al5Rh3 at its relaxed geometry (PBE).

Geometry as POSCAR:
```
Mg2Al5Rh3
1.0
4.807 -6.146 0.000
4.807 6.146 0.000
-0.777 0.000 5.354
Mg Al Rh
4 10 6
direct
0.107 0.654 0.898
0.346 0.893 0.602
0.654 0.107 0.398
0.893 0.346 0.102
0.014 0.986 0.750
0.228 0.534 0.413
0.233 0.313 0.961
0.313 0.233 0.461
0.466 0.772 0.087
0.534 0.228 0.913
0.687 0.767 0.539
0.767 0.687 0.039
0.772 0.466 0.587
0.986 0.014 0.250
0.004 0.290 0.595
0.290 0.004 0.095
0.483 0.517 0.750
0.517 0.483 0.250
0.710 0.996 0.905
0.996 0.710 0.405
```

DFT total energy   -0.370 Ry per atom
Space group   C2/c
Calculated formation energy   -616 kJ/mol of formula units

Record 3
Entry from Alexandria: crystalline La6SmZn5 at its relaxed geometry (PBE).

Geometry as POSCAR:
```
La6SmZn5
1.0
5.319 0.000 0.000
0.000 7.679 0.000
-2.662 0.000 8.160
La Sm Zn
6 1 5
direct
0.000 0.219 0.000
0.000 0.781 0.000
0.325 0.245 0.648
0.325 0.755 0.648
0.675 0.245 0.352
0.675 0.755 0.352
0.500 0.500 0.000
0.148 0.500 0.300
0.165 0.000 0.335
0.500 0.000 0.000
0.835 0.000 0.665
0.852 0.500 0.700
```

DFT total energy   -0.265 Ry per atom
Space group   P2/m
Calculated formation energy   -245 kJ/mol of formula units